Material: AcPmI
Method: DFT, PBE
State: relaxed

Calculated volume   37.11 Å³/atom
Energy relative to the elements, uncorrected   -0.28 eV per atom
VASP energy   -3.75 eV per atom
Magnetization   0.000 μB/cell

abc: 5.635 5.635 4.048
angles: 90.00 90.00 120.00
Fractional positions:
Ac 0.000 0.000 0.000
Pm 0.667 0.333 0.500
I 0.333 0.667 0.502